Record 1
The following is a DFT calculation (PBE) of a relaxed structure of ScHg2Bi. Values from VASP.

Calculated values
The calculation puts the total DFT energy (no corrections) at -0.1040 hartree per atom. The space-group type is F-43m, No. 216. The total magnetization is 0.1 μB per cell.

Cell and atoms, written as Quantum ESPRESSO input:
```
&SYSTEM
  ibrav = 0, nat = 4, ntyp = 3
/
ATOMIC_SPECIES
Bi 208.98 Bi.upf
Hg 200.59 Hg.upf
Sc 44.96 Sc.upf
CELL_PARAMETERS angstrom
-0.6314 0.7459 5.1711
0.6255 4.8014 2.0617
-4.1745 2.6618 1.7842
ATOMIC_POSITIONS crystal
Bi 0.5000 0.5000 0.5000
Hg 0.0000 0.0000 0.0000
Hg 0.7500 0.7500 0.7500
Sc 0.2500 0.2500 0.2500
```

---

Record 2
The following is a DFT calculation (PBE) of a relaxed structure of CoCuMoPb. Values from VASP.

Calculated values
The calculation puts the total DFT energy (no corrections) at -0.2075 hartree per atom. The space-group type is F-43m, No. 216. As for the energy above the lowest structure with this stoichiometry: 115 meV per atom. The total magnetization is 0.2 μB per cell.

Cell and atoms, written as Quantum ESPRESSO input:
```
&SYSTEM
  ibrav = 0, nat = 4, ntyp = 4
/
ATOMIC_SPECIES
Co 58.93 Co.upf
Cu 63.55 Cu.upf
Mo 95.94 Mo.upf
Pb 207.20 Pb.upf
CELL_PARAMETERS angstrom
2.2440 -3.0952 2.3199
1.0886 0.7595 4.2703
-2.0473 -2.2664 3.2665
ATOMIC_POSITIONS crystal
Co 0.5000 0.5000 0.5000
Cu 0.7500 0.7500 0.7500
Mo 0.2500 0.2500 0.2500
Pb 0.0000 0.0000 0.0000
```

---

Record 3
The following is a DFT calculation (PBE) of a relaxed structure of Na2AgH6Pd. Values from VASP.

Calculated values
The calculation puts the total DFT energy (no corrections) at -0.1184 hartree per atom. The space-group type is Fm-3m, No. 225.

Cell and atoms, written as Quantum ESPRESSO input:
```
&SYSTEM
  ibrav = 0, nat = 10, ntyp = 4
/
ATOMIC_SPECIES
Ag 107.87 Ag.upf
H 1.01 H.upf
Na 22.99 Na.upf
Pd 106.42 Pd.upf
CELL_PARAMETERS angstrom
0.0000 3.6726 3.6726
3.6726 0.0000 3.6726
3.6726 3.6726 0.0000
ATOMIC_POSITIONS crystal
Ag 0.5000 0.5000 0.5000
H 0.7645 0.2355 0.2355
H 0.2355 0.7645 0.2355
H 0.7645 0.7645 0.2355
H 0.2355 0.2355 0.7645
H 0.7645 0.2355 0.7645
H 0.2355 0.7645 0.7645
Na 0.2500 0.2500 0.2500
Na 0.7500 0.7500 0.7500
Pd 0.0000 0.0000 0.0000
```

---

Record 4
The following is a DFT calculation (PBE) of a relaxed structure of IrO3. Values from VASP.

Calculated values
The calculation puts the total DFT energy (no corrections) at -0.2347 hartree per atom. The space-group type is C2/m, No. 12. The total magnetization is 0.0 μB per cell.

Cell and atoms, written as Quantum ESPRESSO input:
```
&SYSTEM
  ibrav = 0, nat = 8, ntyp = 2
/
ATOMIC_SPECIES
Ir 192.22 Ir.upf
O 16.00 O.upf
CELL_PARAMETERS angstrom
-0.7899 4.6304 -2.2505
3.1345 -3.4920 -2.2607
-4.3042 -2.0787 -0.7191
ATOMIC_POSITIONS crystal
Ir 0.8336 0.1664 0.0000
Ir 0.1664 0.8336 0.0000
O 0.9596 0.5782 0.2294
O 0.5782 0.9596 0.2294
O 0.1953 0.1953 0.2317
O 0.8047 0.8047 0.7683
O 0.4218 0.0404 0.7706
O 0.0404 0.4218 0.7706
```

---

Record 5
The following is a DFT calculation (PBE) of a relaxed structure of Hf2Ga2CoCuIr2. Values from VASP.

Calculated values
The calculation puts the total DFT energy (no corrections) at -0.2718 hartree per atom. The space-group type is P-4m2, No. 115. The total magnetization is 1.2 μB per cell.

Cell and atoms, written as Quantum ESPRESSO input:
```
&SYSTEM
  ibrav = 0, nat = 8, ntyp = 5
/
ATOMIC_SPECIES
Co 58.93 Co.upf
Cu 63.55 Cu.upf
Ga 69.72 Ga.upf
Hf 178.49 Hf.upf
Ir 192.22 Ir.upf
CELL_PARAMETERS angstrom
-2.6834 3.4775 -0.5116
-2.3981 -2.2819 -2.9321
-3.6377 -2.1259 4.6298
ATOMIC_POSITIONS crystal
Co 0.0000 0.0000 0.0000
Cu 0.5000 0.5000 0.5000
Ga 0.0000 0.5000 0.2488
Ga 0.5000 0.0000 0.7512
Hf 0.5000 0.0000 0.2469
Hf 0.0000 0.5000 0.7531
Ir 0.5000 0.5000 0.0000
Ir 0.0000 0.0000 0.5000
```

---

Record 6
The following is a DFT calculation (PBE) of a relaxed structure of CsCuReSe3. Values from VASP.

Calculated values
The calculation puts the total DFT energy (no corrections) at -0.1791 hartree per atom. The space-group type is Cmcm, No. 63. The total magnetization is 4.6 μB per cell.

Cell and atoms, written as Quantum ESPRESSO input:
```
&SYSTEM
  ibrav = 0, nat = 12, ntyp = 4
/
ATOMIC_SPECIES
Cs 132.91 Cs.upf
Cu 63.55 Cu.upf
Re 186.21 Re.upf
Se 78.96 Se.upf
CELL_PARAMETERS angstrom
8.1067 -1.9100 0.0000
8.1067 1.9100 0.0000
0.0000 0.0000 9.8746
ATOMIC_POSITIONS crystal
Cs 0.7538 0.7538 0.2500
Cs 0.2462 0.2462 0.7500
Cu 0.4677 0.4677 0.2500
Cu 0.5323 0.5323 0.7500
Re 0.0000 0.0000 0.0000
Re 0.0000 0.0000 0.5000
Se 0.3943 0.3943 0.0400
Se 0.0600 0.0600 0.2500
Se 0.3943 0.3943 0.4600
Se 0.6057 0.6057 0.5400
Se 0.9400 0.9400 0.7500
Se 0.6057 0.6057 0.9600
```

---

Record 7
The following is a DFT calculation (PBE) of a relaxed structure of LuGaPt. Values from VASP.

Calculated values
The calculation puts the total DFT energy (no corrections) at -0.2078 hartree per atom. The space-group type is Pnma, No. 62. The total magnetization is 0.0 μB per cell.

Cell and atoms, written as Quantum ESPRESSO input:
```
&SYSTEM
  ibrav = 0, nat = 12, ntyp = 3
/
ATOMIC_SPECIES
Ga 69.72 Ga.upf
Lu 174.97 Lu.upf
Pt 195.08 Pt.upf
CELL_PARAMETERS angstrom
6.6997 0.0000 0.0000
0.0000 4.3991 0.0000
0.0000 0.0000 7.6255
ATOMIC_POSITIONS crystal
Ga 0.3179 0.2500 0.0792
Ga 0.8179 0.2500 0.4208
Ga 0.1821 0.7500 0.5792
Ga 0.6821 0.7500 0.9208
Lu 0.0102 0.7500 0.2040
Lu 0.5102 0.7500 0.2960
Lu 0.4898 0.2500 0.7040
Lu 0.9898 0.2500 0.7960
Pt 0.7260 0.2500 0.0919
Pt 0.2260 0.2500 0.4081
Pt 0.7740 0.7500 0.5919
Pt 0.2740 0.7500 0.9081
```

---

Record 8
The following is a DFT calculation (PBE) of a relaxed structure of Cu. Values from VASP.

Calculated values
The calculation puts the formation enthalpy at 0 K at 0.22 eV per atom. The calculation puts the total DFT energy (no corrections) at -0.1286 hartree per atom. The space-group type is R-3m, No. 166. As for the energy above the lowest structure with this stoichiometry: 219 meV per atom.

Cell and atoms, written as Quantum ESPRESSO input:
```
&SYSTEM
  ibrav = 0, nat = 4, ntyp = 1
/
ATOMIC_SPECIES
Cu 63.55 Cu.upf
CELL_PARAMETERS angstrom
-2.2248 -10.3094 10.0950
-0.1337 -9.3873 11.1805
-2.3894 -8.3749 11.7173
ATOMIC_POSITIONS crystal
Cu 0.0715 0.0715 0.0715
Cu 0.3572 0.3572 0.3572
Cu 0.6428 0.6428 0.6428
Cu 0.9285 0.9285 0.9285
```

---

Record 9
The following is a DFT calculation (PBE) of a relaxed structure of AlZn. Values from VASP.

Calculated values
The calculation puts the total DFT energy (no corrections) at -0.0897 hartree per atom. The space-group type is Pmmn, No. 59.

Cell and atoms, written as Quantum ESPRESSO input:
```
&SYSTEM
  ibrav = 0, nat = 16, ntyp = 2
/
ATOMIC_SPECIES
Al 26.98 Al.upf
Zn 65.41 Zn.upf
CELL_PARAMETERS angstrom
4.8265 0.0000 0.0000
0.0000 11.0935 0.0000
0.0000 0.0000 4.7476
ATOMIC_POSITIONS crystal
Al 0.0028 0.2481 0.0000
Al 0.5011 0.3750 0.0000
Al 0.0028 0.5019 0.0000
Al 0.4968 0.8750 0.0000
Al 0.3305 0.0019 0.5000
Al 0.8366 0.3750 0.5000
Al 0.3305 0.7481 0.5000
Al 0.8322 0.8750 0.5000
Zn 0.5030 0.1250 0.0000
Zn 0.5030 0.6250 0.0000
Zn 0.9984 0.7505 0.0000
Zn 0.9984 0.9995 0.0000
Zn 0.8303 0.1250 0.5000
Zn 0.3349 0.2505 0.5000
Zn 0.3349 0.4995 0.5000
Zn 0.8303 0.6250 0.5000
```

---

Record 10
The following is a DFT calculation (PBE) of a relaxed structure of TmLuPa. Values from VASP.

Calculated values
The calculation puts the formation enthalpy at 0 K at 1.06 eV per atom. The calculation puts the total DFT energy (no corrections) at -0.1874 hartree per atom. The space-group type is F-43m, No. 216. As for the energy above the lowest structure with this stoichiometry: 0 meV per atom. The total magnetization is 2.8 μB per cell.

Cell and atoms, written as Quantum ESPRESSO input:
```
&SYSTEM
  ibrav = 0, nat = 3, ntyp = 3
/
ATOMIC_SPECIES
Lu 174.97 Lu.upf
Pa 231.04 Pa.upf
Tm 168.93 Tm.upf
CELL_PARAMETERS angstrom
0.0000 3.6823 3.6823
3.6823 0.0000 3.6823
3.6823 3.6823 0.0000
ATOMIC_POSITIONS crystal
Lu 0.0000 0.0000 0.0000
Pa 0.2500 0.2500 0.2500
Tm 0.7500 0.7500 0.7500
```

---

Record 11
The following is a DFT calculation (PBE) of a relaxed structure of YCu2SiGe. Values from VASP.

Calculated values
The calculation puts the total DFT energy (no corrections) at -0.1961 hartree per atom. The space-group type is I4mm, No. 107. The total magnetization is 0.0 μB per cell.

Cell and atoms, written as Quantum ESPRESSO input:
```
&SYSTEM
  ibrav = 0, nat = 5, ntyp = 4
/
ATOMIC_SPECIES
Cu 63.55 Cu.upf
Ge 72.64 Ge.upf
Si 28.09 Si.upf
Y 88.91 Y.upf
CELL_PARAMETERS angstrom
-4.2055 2.0551 3.4394
-5.5900 -1.2707 -0.9361
5.1390 -2.6764 0.4082
ATOMIC_POSITIONS crystal
Cu 0.7460 0.2460 0.5000
Cu 0.2460 0.7460 0.5000
Ge 0.3846 0.3846 0.0000
Si 0.6216 0.6216 0.0000
Y 0.0019 0.0019 0.0000
```

---

Record 12
The following is a DFT calculation (PBE) of a relaxed structure of Pa2Pt2Au. Values from VASP.

Calculated values
The calculation puts the formation enthalpy at 0 K at -0.84 eV per atom. The calculation puts the total DFT energy (no corrections) at -0.2834 hartree per atom. The space-group type is P4/mbm, No. 127. The total magnetization is 0.0 μB per cell.

Cell and atoms, written as Quantum ESPRESSO input:
```
&SYSTEM
  ibrav = 0, nat = 10, ntyp = 3
/
ATOMIC_SPECIES
Au 196.97 Au.upf
Pa 231.04 Pa.upf
Pt 195.08 Pt.upf
CELL_PARAMETERS angstrom
7.7352 0.0000 0.0000
0.0000 7.7352 0.0000
0.0000 0.0000 3.6602
ATOMIC_POSITIONS crystal
Au 0.0000 0.0000 0.0000
Au 0.5000 0.5000 0.0000
Pa 0.3268 0.1732 0.5000
Pa 0.8268 0.3268 0.5000
Pa 0.1732 0.6732 0.5000
Pa 0.6732 0.8268 0.5000
Pt 0.6303 0.1303 0.0000
Pt 0.1303 0.3697 0.0000
Pt 0.8697 0.6303 0.0000
Pt 0.3697 0.8697 0.0000
```

---

Q: What is the formula in the ninth record?
A: AlZn

---

Q: The lowest total DFT energy (no corrections) belongs to which entry?
A: Pa2Pt2Au

---

Q: Among the records above, which one has the highest total DFT energy (no corrections)?
A: AlZn

---

Q: The highest total DFT energy (no corrections) belongs to which entry?
A: AlZn